(1)
{"formula": "NaLiPr", "functional": "PBE", "state": "relaxed", "cell": [[3.706, 0.000, 0.000], [0.000, 3.706, 0.000], [0.000, 0.000, 13.517]], "species": ["Na", "Na", "Li", "Li", "Pr", "Pr"], "fractional_positions": [[0.250, 0.250, 0.098], [0.750, 0.750, 0.902], [0.250, 0.250, 0.755], [0.750, 0.750, 0.245], [0.250, 0.250, 0.408], [0.750, 0.750, 0.592]], "sg": "No. 129", "de_polymorph_mev_per_atom": 0}

(2)
{"formula": "NaLi4Pr", "functional": "PBE", "state": "relaxed", "cell": [[0.000, 4.212, 4.212], [4.212, 0.000, 4.212], [4.212, 4.212, 0.000]], "species": ["Na", "Li", "Li", "Li", "Li", "Pr"], "fractional_positions": [[0.000, 0.000, 0.000], [0.122, 0.626, 0.626], [0.626, 0.122, 0.626], [0.626, 0.626, 0.122], [0.626, 0.626, 0.626], [0.250, 0.250, 0.250]], "e_tot_ev_per_atom": -2.158, "sg": "No. 216"}

(3)
{"formula": "NaLiPrPt", "functional": "PBE", "state": "relaxed", "cell": [[7.102, 0.000, 0.000], [0.000, 7.102, 0.000], [0.000, 0.000, 7.102]], "species": ["Na", "Na", "Na", "Na", "Li", "Li", "Li", "Li", "Pr", "Pr", "Pr", "Pr", "Pt", "Pt", "Pt", "Pt"], "fractional_positions": [[0.000, 0.000, 0.000], [0.000, 0.500, 0.500], [0.500, 0.000, 0.500], [0.500, 0.500, 0.000], [0.250, 0.250, 0.750], [0.250, 0.750, 0.250], [0.750, 0.250, 0.250], [0.750, 0.750, 0.750], [0.000, 0.000, 0.500], [0.000, 0.500, 0.000], [0.500, 0.000, 0.000], [0.500, 0.500, 0.500], [0.250, 0.250, 0.250], [0.250, 0.750, 0.750], [0.750, 0.250, 0.750], [0.750, 0.750, 0.250]], "e_tot_ev_per_atom": -3.844, "sg": "No. 216"}

(4)
{"formula": "NaLiPr2S4", "functional": "PBE", "state": "relaxed", "cell": [[-4.074, 4.107, 5.790], [4.074, -4.107, 5.790], [4.074, 4.107, -5.790]], "species": ["Na", "Na", "Li", "Li", "Pr", "Pr", "Pr", "Pr", "S", "S", "S", "S", "S", "S", "S", "S"], "fractional_positions": [[0.500, 0.000, 0.000], [0.500, 0.500, 0.500], [0.000, 0.000, 0.000], [0.500, 0.000, 0.500], [0.000, 0.000, 0.500], [0.000, 0.500, 0.000], [0.000, 0.500, 0.500], [0.500, 0.500, 0.000], [0.241, 0.748, 0.493], [0.245, 0.252, 0.993], [0.247, 0.249, 0.502], [0.247, 0.745, 0.998], [0.753, 0.255, 0.002], [0.753, 0.751, 0.498], [0.755, 0.748, 0.007], [0.759, 0.252, 0.507]], "sg": "No. 74", "raw_formation_energy_ev_per_fu": -14.1}

(5)
{"formula": "NaLi2PrSb2", "functional": "PBE", "state": "relaxed", "cell": [[4.716, 0.000, 0.000], [-2.358, 4.084, 0.000], [0.000, 0.000, 7.558]], "species": ["Na", "Li", "Li", "Pr", "Sb", "Sb"], "fractional_positions": [[0.000, 0.000, 0.000], [0.333, 0.667, 0.161], [0.667, 0.333, 0.839], [0.000, 0.000, 0.500], [0.333, 0.667, 0.747], [0.667, 0.333, 0.253]], "sg": "No. 164", "raw_formation_energy_ev_per_fu": -4.8}

(6)
{"formula": "NaLiPr2Te4", "functional": "PBE", "state": "relaxed", "cell": [[7.779, 0.000, 0.000], [0.000, 4.545, 0.000], [-2.658, 0.000, 7.411]], "species": ["Na", "Li", "Pr", "Pr", "Te", "Te", "Te", "Te"], "fractional_positions": [[0.000, 0.000, 0.000], [0.000, 0.500, 0.500], [0.500, 0.000, 0.500], [0.500, 0.500, 0.000], [0.247, 0.000, 0.745], [0.250, 0.500, 0.254], [0.750, 0.500, 0.746], [0.753, 0.000, 0.255]], "sg": "No. 10", "raw_formation_energy_ev_per_fu": -10.4}

(7)
{"formula": "NaLiPrTl", "functional": "PBE", "state": "relaxed", "cell": [[7.496, 0.000, 0.000], [0.000, 7.496, 0.000], [0.000, 0.000, 7.496]], "species": ["Na", "Na", "Na", "Na", "Li", "Li", "Li", "Li", "Pr", "Pr", "Pr", "Pr", "Tl", "Tl", "Tl", "Tl"], "fractional_positions": [[0.000, 0.000, 0.000], [0.000, 0.500, 0.500], [0.500, 0.000, 0.500], [0.500, 0.500, 0.000], [0.250, 0.250, 0.250], [0.250, 0.750, 0.750], [0.750, 0.250, 0.750], [0.750, 0.750, 0.250], [0.250, 0.250, 0.750], [0.250, 0.750, 0.250], [0.750, 0.250, 0.250], [0.750, 0.750, 0.750], [0.000, 0.000, 0.500], [0.000, 0.500, 0.000], [0.500, 0.000, 0.000], [0.500, 0.500, 0.500]], "e_tot_ev_per_atom": -2.740, "sg": "No. 216"}

(8)
{"formula": "NaLiPrZn", "functional": "PBE", "state": "relaxed", "cell": [[7.333, 0.000, 0.000], [0.000, 7.333, 0.000], [0.000, 0.000, 7.333]], "species": ["Na", "Na", "Na", "Na", "Li", "Li", "Li", "Li", "Pr", "Pr", "Pr", "Pr", "Zn", "Zn", "Zn", "Zn"], "fractional_positions": [[0.000, 0.000, 0.000], [0.000, 0.500, 0.500], [0.500, 0.000, 0.500], [0.500, 0.500, 0.000], [0.250, 0.250, 0.250], [0.250, 0.750, 0.750], [0.750, 0.250, 0.750], [0.750, 0.750, 0.250], [0.000, 0.000, 0.500], [0.000, 0.500, 0.000], [0.500, 0.000, 0.000], [0.500, 0.500, 0.500], [0.250, 0.250, 0.750], [0.250, 0.750, 0.250], [0.750, 0.250, 0.250], [0.750, 0.750, 0.750]], "e_tot_ev_per_atom": -2.288, "sg": "No. 216"}

(9)
{"formula": "Na2Li2Pt", "functional": "PBE", "state": "relaxed", "cell": [[6.541, 0.000, 0.000], [0.000, 6.541, 0.000], [0.000, 0.000, 4.920]], "species": ["Na", "Na", "Na", "Na", "Li", "Li", "Li", "Li", "Pt", "Pt"], "fractional_positions": [[0.191, 0.309, 0.000], [0.309, 0.809, 0.000], [0.691, 0.191, 0.000], [0.809, 0.691, 0.000], [0.153, 0.653, 0.500], [0.347, 0.153, 0.500], [0.653, 0.847, 0.500], [0.847, 0.347, 0.500], [0.000, 0.000, 0.500], [0.500, 0.500, 0.500]], "e_tot_ev_per_atom": -2.617, "sg": "No. 127"}

(10)
{"formula": "NaLi2Pt2", "functional": "PBE", "state": "relaxed", "cell": [[7.758, 0.000, 0.000], [0.000, 7.758, 0.000], [0.000, 0.000, 2.672]], "species": ["Na", "Na", "Li", "Li", "Li", "Li", "Pt", "Pt", "Pt", "Pt"], "fractional_positions": [[0.000, 0.000, 0.000], [0.500, 0.500, 0.000], [0.123, 0.377, 0.000], [0.377, 0.877, 0.000], [0.623, 0.123, 0.000], [0.877, 0.623, 0.000], [0.171, 0.671, 0.500], [0.329, 0.171, 0.500], [0.671, 0.829, 0.500], [0.829, 0.329, 0.500]], "sg": "No. 127", "de_polymorph_mev_per_atom": 0}